## 1
Tm2ScHg2: relaxed, PBE.

```
5
Lattice="-2.307 3.322 4.160 2.307 -3.322 4.160 2.307 3.322 -4.160" Properties=species:S:1:pos:R:3 pbc="T T T"
Tm 0.000 0.000 1.650
Tm 0.000 0.000 6.669
Sc 0.000 3.322 0.000
Hg 2.307 1.476 0.000
Hg 0.000 1.846 4.160
```

***

## 2
Tm2ScHg2: relaxed, PBE.

```
10
Lattice="3.673 0.000 0.000 0.000 5.107 0.000 -1.849 0.000 13.159" Properties=species:S:1:pos:R:3 pbc="T T T"
Tm -0.003 1.277 1.255
Tm -0.007 1.277 6.234
Tm 1.830 3.830 6.925
Tm 1.827 3.830 11.904
Sc -0.004 3.830 3.901
Sc 1.828 1.277 9.258
Hg -0.008 3.830 9.345
Hg -0.010 1.277 11.815
Hg 1.833 3.830 1.344
Hg 1.832 1.277 3.814
```

***

Stability ranking, top entry: 2; the second entry is 54 meV per atom less favorable.

***

## 1
ScV3Hg: relaxed, PBE.

```
5
Lattice="4.551 0.000 0.000 0.000 4.551 0.000 0.000 0.000 4.551" Properties=species:S:1:pos:R:3 pbc="T T T"
Sc 0.000 0.000 0.000
V 0.000 0.000 2.275
V 0.000 2.275 0.000
V 2.275 0.000 0.000
Hg 2.275 2.275 2.275
```

***

## 2
ScV3Hg: relaxed, PBE.

```
5
Lattice="5.006 0.000 0.000 0.000 5.006 0.000 0.000 0.000 5.006" Properties=species:S:1:pos:R:3 pbc="T T T"
Sc 0.000 0.000 0.000
V 0.000 2.503 2.503
V 2.503 0.000 2.503
V 2.503 2.503 0.000
Hg 2.503 2.503 2.503
```

***

Stability ranking, top entry: 2; the second entry is 55 meV per atom less favorable.

***

## 1
Sc3VHg: relaxed, PBE.

```
5
Lattice="5.259 0.000 0.000 0.000 5.259 0.000 0.000 0.000 5.259" Properties=species:S:1:pos:R:3 pbc="T T T"
Sc 0.000 0.000 2.629
Sc 0.000 2.629 0.000
Sc 2.629 0.000 0.000
V 2.629 2.629 2.629
Hg 0.000 0.000 0.000
```

***

## 2
Sc3VHg: relaxed, PBE.

```
5
Lattice="4.912 0.000 0.000 0.000 4.912 0.000 0.000 0.000 4.912" Properties=species:S:1:pos:R:3 pbc="T T T"
Sc 0.000 0.000 2.456
Sc 0.000 2.456 0.000
Sc 2.456 0.000 0.000
V 0.000 0.000 0.000
Hg 2.456 2.456 2.456
```

***

Stability ranking, top entry: 2; the second entry is 377 meV per atom less favorable.

***

## 1
ScHg2W: relaxed, PBE.

```
4
Lattice="2.947 0.000 0.000 0.000 2.947 0.000 0.000 0.000 9.211" Properties=species:S:1:pos:R:3 pbc="T T T"
Sc 0.000 0.000 0.000
Hg 0.000 0.000 4.357
Hg 1.473 1.473 6.862
W 1.473 1.473 2.127
```

***

## 2
ScHg2W: relaxed, PBE.

```
4
Lattice="3.576 0.000 0.000 0.000 3.576 0.000 0.000 0.000 6.257" Properties=species:S:1:pos:R:3 pbc="T T T"
Sc 0.000 0.000 0.000
Hg 0.000 0.000 2.924
Hg 1.788 1.788 4.605
W 1.788 1.788 1.448
```

***

Stability ranking, top entry: 1; the second entry is 142 meV per atom less favorable.